A plane-wave DFT calculation with PBE-GGA was carried out for an optimized crystal structure of NaLaTc.

Output
M_tot	0.00	μB/f.u.
VASP energy	-5.030	eV per atom
formation energy from the elements	507	meV per atom
symmetry	No. 6

extended XYZ file:
```
3
Lattice="3.1986 0.0000 0.0000 0.0000 5.7091 0.0000 -0.5695 0.0000 4.7422" Properties=species:S:1:pos:R:3 pbc="T T T"
Na 0.0000 0.0000 0.0000
La 2.4848 2.8546 2.2343
Tc 1.4564 2.8546 0.1038
```